# 1
A plane-wave DFT calculation with PBE was carried out for a geometry-optimized K2TaW structure.

abc: 3.9222 3.9222 6.3512
angles: 90.00 90.00 90.00
Atoms (fractional coordinates):
1 K 0.0000 0.5000 0.0000
2 K 0.5000 0.0000 0.0000
3 Ta 0.0000 0.0000 0.5000
4 W 0.5000 0.5000 0.5000

SG = P4/mmm (123)

# 2
A plane-wave DFT calculation with PBE was carried out for a geometry-optimized K2TaW structure.

abc: 11.0724 11.0724 4.2936
angles: 101.16 101.16 15.87
Atoms (fractional coordinates):
1 K 0.1517 0.1517 0.1497
2 K 0.8483 0.8483 0.8503
3 Ta 0.0000 0.0000 0.5000
4 W 0.5000 0.5000 0.0000

SG = C2/m (12)

# 3
A plane-wave DFT calculation with PBE was carried out for a geometry-optimized K2TaW structure.

abc: 4.8003 4.8003 10.4103
angles: 91.62 91.62 36.41
Atoms (fractional coordinates):
1 K 0.0000 0.0000 0.0000
2 K 0.2297 0.2297 0.5865
3 Ta 0.4777 0.4777 0.3146
4 W 0.7469 0.7469 0.2724

SG = Cm (8)

# 4
A plane-wave DFT calculation with PBE was carried out for a geometry-optimized K2TaW structure.

abc: 5.0834 5.0834 5.0834
angles: 60.00 60.00 60.00
Atoms (fractional coordinates):
1 K 0.0000 0.0000 0.0000
2 K 0.2500 0.2500 0.2500
3 Ta 0.7500 0.7500 0.7500
4 W 0.5000 0.5000 0.5000

SG = F-43m (216)

# 5
A plane-wave DFT calculation with PBE was carried out for a geometry-optimized K2TaW structure.

abc: 2.7953 5.5166 6.3374
angles: 90.00 90.00 90.00
Atoms (fractional coordinates):
1 K 0.0000 0.2482 0.0000
2 K 0.0000 0.7518 0.0000
3 Ta 0.5000 0.5000 0.5000
4 W 0.5000 0.0000 0.5000

SG = Pmmm (47)

# 6
A plane-wave DFT calculation with PBE was carried out for a geometry-optimized K2TaW structure.

abc: 12.9495 12.9495 12.9495
angles: 12.89 12.89 12.89
Atoms (fractional coordinates):
1 K 0.2479 0.2479 0.2479
2 K 0.7521 0.7521 0.7521
3 Ta 0.0000 0.0000 0.0000
4 W 0.5000 0.5000 0.5000

SG = R-3m (166)

no.,E above lowest polymorph (meV per atom),density of states at the Fermi level (states/eV/cell),energy relative to the elements (eV/atom)
1,731,4.2,1.60
2,84,3.2,0.95
3,269,4.0,1.14
4,1077,4.4,1.95
5,750,4.6,1.62
6,589,3.9,1.46